1.
Density functional theory data (PBE-GGA) for a geometry-optimized HfCdMo3 structure.

a b c (Å): 4.8357 4.8357 4.8357
angles (deg): 90.00 90.00 90.00
Fractional positions:
1 Mo 0.0000 0.5000 0.0000
2 Mo 0.5000 0.0000 0.0000
3 Mo 0.0000 0.0000 0.5000
4 Hf 0.5000 0.5000 0.5000
5 Cd 0.0000 0.0000 0.0000

Relative energy among the computed polymorphs   0.3974 eV per atom
SG   Pm-3m
ΔE_f   1072 kJ/mol of formula units

---

2.
Density functional theory data (PBE-GGA) for a geometry-optimized RbVAu structure.

a b c (Å): 7.0294 15.1599 7.6155
angles (deg): 90.00 90.00 90.00
Fractional positions:
1 V 0.0000 0.4391 0.7641
2 V 0.5000 0.4391 0.2641
3 V 0.0000 0.0609 0.2641
4 V 0.0000 0.9391 0.2641
5 V 0.0000 0.5609 0.7641
6 V 0.5000 0.9391 0.7641
7 V 0.5000 0.5609 0.2641
8 V 0.5000 0.0609 0.7641
9 Rb 0.0000 0.1610 0.7105
10 Rb 0.0000 0.8390 0.7105
11 Rb 0.5000 0.3390 0.7105
12 Rb 0.5000 0.1610 0.2105
13 Rb 0.5000 0.8390 0.2105
14 Rb 0.0000 0.6610 0.2105
15 Rb 0.0000 0.3390 0.2105
16 Rb 0.5000 0.6610 0.7105
17 Au 0.2934 0.0000 0.4718
18 Au 0.2066 0.5000 0.4718
19 Au 0.7066 0.0000 0.4718
20 Au 0.2934 0.5000 0.9718
21 Au 0.7934 0.5000 0.4718
22 Au 0.7934 0.0000 0.9718
23 Au 0.7066 0.5000 0.9718
24 Au 0.2066 0.0000 0.9718

Relative energy among the computed polymorphs   0.1061 eV per atom
SG   Fmm2
ΔE_f   109 kJ/mol of formula units

---

3.
Density functional theory data (PBE-GGA) for a geometry-optimized Pm3ScTe4 structure.

a b c (Å): 4.3518 7.6479 7.6479
angles (deg): 108.92 90.00 90.00
Fractional positions:
1 Pm 0.5000 0.5000 0.5000
2 Pm 0.0000 0.5000 0.0000
3 Pm 0.0000 0.0000 0.5000
4 Te 0.0000 0.2340 0.2340
5 Te 0.0000 0.7660 0.7660
6 Te 0.5000 0.2418 0.7582
7 Te 0.5000 0.7582 0.2418
8 Sc 0.5000 0.0000 0.0000

Energy   -0.201 hartree per atom
SG   Cmmm

---

4.
Density functional theory data (PBE-GGA) for a geometry-optimized YBRuRh2 structure.

a b c (Å): 4.0558 4.7842 4.0558
angles (deg): 90.00 90.00 90.00
Fractional positions:
1 Y 0.0000 0.5000 0.0000
2 Rh 0.0000 0.0000 0.5000
3 Rh 0.5000 0.0000 0.0000
4 B 0.0000 0.0000 0.0000
5 Ru 0.5000 0.5000 0.5000

Relative energy among the computed polymorphs   0.5489 eV per atom
SG   P4/mmm
ΔE_f   -27 kJ/mol of formula units

---

Number 1: DOS(E_F) 1.53 states/eV/atom. Number 2: DOS(E_F) 0.76 states/eV/atom. Number 3: DOS(E_F) 0.66 states/eV/atom. Number 4: DOS(E_F) 0.69 states/eV/atom.